Density functional theory data (PBE) for crystalline Zr2AgAu at its relaxed geometry.

For the calculated formation energy, the calculation gives -0.093 eV/atom. For the density of states at the Fermi level, the calculation gives 7.7 states/eV per cell. The value obtained for the total moment is 0.00 μB/f.u. As for the total DFT energy (no corrections): -5.90 eV/atom.

The space group is R3m (No. 160, hexagonal axes) and the conventional cell measures 3.2534, 3.2534 and 27.8582 Å, with angles of 90.00, 90.00 and 120.00 degrees. The asymmetric unit holds Zr at (0.0000, 0.0000, 0.0000), Zr at (0.0000, 0.0000, 0.2449), Ag at (0.0000, 0.0000, 0.7513) and Au at (0.0000, 0.0000, 0.4992).